Entry from the Alexandria database: a geometry-optimized CuTcW structure (GGA-PBE).

## Properties
Formation energy = 165 meV per atom
Raw total energy = -8.9736 eV per atom
DOS at the Fermi energy = 1.096 states/eV/cell
Space-group type = P3m1 (156)
Distance to the lowest polymorph of the same formula = 0 meV per atom

a = 4.3691 Å, b = 4.3691 Å, c = 2.6335 Å
α = 90.00°, β = 90.00°, γ = 120.00°
Last column: nearest neighbours and their distance in Å.
Fractional positions:
Cu (0.0000, 0.0000, 0.0000)  2 Cu 2.63, 3 W 2.68, 3 Tc 2.71
Tc (0.3333, 0.6667, 0.3728)  3 W 2.63, 2 Tc 2.63, 3 Cu 2.71
W (0.6667, 0.3333, 0.6513)  3 Tc 2.63, 2 W 2.63, 3 Cu 2.68

---

Entry from the Alexandria database: a geometry-optimized YCu2TcW structure (GGA-PBE).

## Properties
Formation energy = 1767 meV per atom
Raw total energy = -5.8278 eV per atom
DOS at the Fermi energy = 5.538 states/eV/cell
Space-group type = P4/mmm (123)

a = 4.7141 Å, b = 4.7141 Å, c = 5.1699 Å
α = 90.00°, β = 90.00°, γ = 90.00°
Last column: nearest neighbours and their distance in Å.
Fractional positions:
Y (0.0000, 0.0000, 0.0000)  2 W 2.58
Cu (0.0000, 0.5000, 0.5000)  2 W 2.36
Cu (0.5000, 0.0000, 0.5000)  2 W 2.36
Tc (0.5000, 0.5000, 0.0000)  4 Y 3.33, 8 Cu 3.50
W (0.0000, 0.0000, 0.5000)  4 Cu 2.36, 2 Y 2.58